A plane-wave DFT calculation with GGA+U was carried out for an optimized crystal structure of CeTaV2O8.

Cell: 3.5378 3.6190 11.6655 Å, 89.29 89.94 60.80°
Closest atoms and distances in Å follow each position.
Space group P-1 (No. 2)
Inequivalent atoms, fractional coordinates:
Ce (0.0000, 0.0000, 0.0000) (multiplicity 1)  6 O 2.24-2.28
Ta (0.0000, 0.0000, 0.5000) (multiplicity 1)  8 O 2.00-2.18
V (0.3230, 0.3560, 0.2651) (multiplicity 2)  7 O 2.06-2.24
O (0.0045, 0.9910, 0.3290) (multiplicity 2)  1 Ta 2.00, 3 V 2.15-2.24
O (0.3218, 0.3551, 0.7823) (multiplicity 2)  2 V 2.06
O (0.3322, 0.3363, 0.4508) (multiplicity 2)  3 Ta 2.14-2.18, 1 V 2.17, 2 O 2.35-2.36
O (0.3347, 0.3305, 0.0764) (multiplicity 2)  1 V 2.20, 3 Ce 2.24-2.28

Properties
Density in g cm⁻³: 7.018
E in hartree per atom: -0.306